# Ho4Tl2N PBE optimized geometry
data_Ho4Tl2N
_space_group_name_H-M_alt 'P 1'
_space_group_IT_number 1
_cell_length_a 6.452
_cell_length_b 6.872
_cell_length_c 8.927
_cell_angle_alpha 90.00
_cell_angle_beta 109.22
_cell_angle_gamma 90.00
loop_
_space_group_symop_operation_xyz
'x,y,z'
loop_
_atom_site_label
_atom_site_fract_x
_atom_site_fract_y
_atom_site_fract_z
Ho1 0.032 0.005 0.279
Ho2 0.032 0.495 0.279
Ho3 0.353 0.750 0.047
Ho4 0.419 0.750 0.652
Ho5 0.581 0.250 0.348
Ho6 0.647 0.250 0.953
Ho7 0.968 0.505 0.721
Ho8 0.968 0.995 0.721
Tl1 0.200 0.250 0.023
Tl2 0.316 0.250 0.592
Tl3 0.684 0.750 0.408
Tl4 0.800 0.750 0.977
N1 0.196 0.750 0.791
N2 0.804 0.250 0.209
# Size of the total moment in μB per formula unit: 0.0
# Polymorph energy (0 for the lowest one) in eV/f.u.: 0.374
# Energy relative to the elements, uncorrected in eV/atom: -0.649